Material: TcPt2Se
Method: DFT, PBE-GGA
State: optimized geometry

a b c (Å): 6.2688 6.2688 6.2504
angles (deg): 59.90 59.90 90.00
Sites, in units of the cell vectors:
Tc1 0.0000 0.0000 0.0000
Tc2 0.7500 0.2500 0.5000
Pt1 0.1136 0.6250 0.2500
Pt2 0.6364 0.1250 0.2500
Pt3 0.3750 0.3636 0.7500
Pt4 0.8750 0.8864 0.7500
Se1 0.5000 0.5000 0.0000
Se2 0.2500 0.7500 0.5000

Calculated values
* formation energy (no corrections): 0.55 eV/atom
* total moment: 0.0 μB/cell



Material: TcPtSe
Method: DFT, PBE-GGA
State: optimized geometry

a b c (Å): 4.2628 4.2628 4.2628
angles (deg): 60.00 60.00 60.00
Sites, in units of the cell vectors:
Se1 0.5000 0.5000 0.5000
Tc1 0.7500 0.7500 0.7500
Pt1 0.0000 0.0000 0.0000

Calculated values
* formation energy (no corrections): 0.15 eV/atom
* total moment: 0.0 μB/cell



Among the records above, which one has the highest formation energy (no corrections)?
TcPt2Se



What did the first record say?
Material: TcPt2Se
Method: DFT, PBE-GGA
State: optimized geometry

a b c (Å): 6.2688 6.2688 6.2504
angles (deg): 59.90 59.90 90.00
Sites, in units of the cell vectors:
Tc1 0.0000 0.0000 0.0000
Tc2 0.7500 0.2500 0.5000
Pt1 0.1136 0.6250 0.2500
Pt2 0.6364 0.1250 0.2500
Pt3 0.3750 0.3636 0.7500
Pt4 0.8750 0.8864 0.7500
Se1 0.5000 0.5000 0.0000
Se2 0.2500 0.7500 0.5000

Calculated values
* formation energy (no corrections): 0.55 eV/atom
* total moment: 0.0 μB/cell



Copy entry 2 word for word.
Material: TcPtSe
Method: DFT, PBE-GGA
State: optimized geometry

a b c (Å): 4.2628 4.2628 4.2628
angles (deg): 60.00 60.00 60.00
Sites, in units of the cell vectors:
Se1 0.5000 0.5000 0.5000
Tc1 0.7500 0.7500 0.7500
Pt1 0.0000 0.0000 0.0000

Calculated values
* formation energy (no corrections): 0.15 eV/atom
* total moment: 0.0 μB/cell